Entry from Alexandria via LeMat-Bulk: a geometry-optimized InGa4Bi structure (PBE-GGA).

Structure (POSCAR):
```
InGa4Bi
1.0
-3.8362 0.1225 -2.8108
1.4228 -4.1208 1.9045
-4.1428 1.2071 5.7069
Ga Bi In
4 1 1
direct
0.3333 0.6667 0.2610 Ga
0.3333 0.6667 0.7390 Ga
0.6667 0.3333 0.2610 Ga
0.6667 0.3333 0.7390 Ga
0.0000 0.0000 0.0000 Bi
0.0000 0.0000 0.5000 In
```

Results
Magnetization: 0.00 μB per atom
ΔH_f (0 K): 0.075 eV per atom
E above lowest polymorph: 10.4 meV/atom
V: 140.2 Å³/f.u.